Density functional theory data (PBE+U) for ZnMoO2F after structural relaxation.

Lattice parameters (Å, degrees): 3.9593 3.9593 3.8383 90.00 90.00 90.00
Fractional positions:
Zn 0.0000 0.0000 0.0000
Mo 0.5000 0.5000 0.5000
O 0.0000 0.5000 0.0000
O 0.5000 0.0000 0.0000
F 0.0000 0.0000 0.5000

Values from the calculation:
Its uncorrected energy is -24.136 eV/cell.